12
Lattice="-0.5321 1.8286 -3.7630 -7.3638 -2.1953 -2.3889 -3.7629 7.7984 1.9583" Properties=species:S:1:pos:R:3 comment="Nd5Ga5Ni2 (PBE-GGA, relaxed)" dos_at_fermi_per_ev_atom=0.924 magmom_total_mub_per_fu=0.000 delta_e_f_mev_per_atom=-509 sg="C2/m (12)" density_g_cm3=6.98 pbc="T T T"
Ga -8.1995 3.9385 -1.6535
Ga 0.0000 0.0000 0.0000
Ga -3.4594 3.4933 -2.5401
Ga -5.8565 -0.0425 -1.5559
Ga -5.8024 7.4743 -2.6377
Ni -6.4072 5.6152 -1.0921
Ni -5.2517 1.8165 -3.1015
Nd -8.2727 1.1322 -3.0068
Nd -5.5634 2.8016 -0.2153
Nd -2.8514 0.5092 -1.7128
Nd -3.3862 6.2995 -1.1868
Nd -8.8075 6.9226 -2.4809